Compound: Ba2TeOs
Source: the Alexandria database
Functional: PBEsol
Structure: relaxed

Values from the calculation:
**Calculated total energy**: -5.14 eV/atom
**Calculated volume**: 132.2 Å³/f.u.
**Space group**: No. 8
**Energy relative to the elements, uncorrected**: -49 kJ/mol of formula units
**Total magnetic moment**: 0.0 μB per cell

a = 6.011 Å, b = 6.011 Å, c = 4.923 Å
α = 94.00°, β = 94.00°, γ = 48.20°
Fractional coordinates of all 4 atoms:
Ba (0.000, 0.000, 0.000)
Ba (0.702, 0.702, 0.571)
Te (0.394, 0.394, 0.445)
Os (0.314, 0.314, 0.932)